--- one ---
MgCu2Se at its PBEsol-relaxed geometry. Source: Alexandria, functional SCAN.

Cell: 6.944 3.827 5.395 Å, 90.00 112.73 90.00°
Space group Cm (No. 8)
Unique sites:
Mg: 0.000 0.000 0.000
Cu: 0.261 0.500 0.287
Cu: 0.478 0.000 0.424
Se: 0.224 0.000 0.649

--- two ---
MgCu2Se at its PBEsol-relaxed geometry. Source: Alexandria, functional SCAN.

Cell: 3.681 3.681 4.419 Å, 90.00 90.00 90.00°
Space group P4/mmm (No. 123)
Unique sites:
Mg: 0.000 0.000 0.000
Cu: 0.000 0.500 0.500
Se: 0.500 0.500 0.000

Name the least stable of them. one.

--- one ---
Mg2CuSe4 at its PBEsol-relaxed geometry. Source: Alexandria, functional SCAN.

Cell: 6.744 6.744 6.615 Å, 90.00 90.00 90.00°
Space group I4/mmm (No. 139)
Unique sites:
Mg: 0.000 0.500 0.250
Cu: 0.000 0.000 0.000
Se: 0.244 0.244 0.000

--- two ---
Mg2CuSe4 at its PBEsol-relaxed geometry. Source: Alexandria, functional SCAN.

Cell: 6.454 6.454 7.494 Å, 90.00 90.00 90.00°
Space group I4/m (No. 87)
Unique sites:
Mg: 0.000 0.500 0.250
Cu: 0.000 0.000 0.000
Se: 0.195 0.296 0.500

Name the least stable of them. one.

--- one ---
Mg4CuSe2 at its PBEsol-relaxed geometry. Source: Alexandria, functional SCAN.

Cell: 6.429 6.429 7.227 Å, 90.00 90.00 90.00°
Space group I4/mmm (No. 139)
Unique sites:
Mg: 0.225 0.225 0.000
Cu: 0.000 0.000 0.500
Se: 0.000 0.500 0.250

--- two ---
Mg4CuSe2 at its PBEsol-relaxed geometry. Source: Alexandria, functional SCAN.

Cell: 4.4882 4.4882 26.6726 Å, 90.00 90.00 120.00°
Space group R-3m (No. 166, hexagonal axes)
Unique sites:
Mg: 0.0000 0.0000 0.1172
Mg: 0.0000 0.0000 0.3620
Cu: 0.0000 0.0000 0.0000
Se: 0.0000 0.0000 0.2191

Name the least stable of them. one.

--- one ---
Mg2CuTc at its PBEsol-relaxed geometry. Source: Alexandria, functional SCAN.

Cell: 2.737 3.824 5.771 Å, 90.00 90.00 90.00°
Space group Pmmm (No. 47)
Unique sites:
Mg: 0.000 0.000 0.247
Cu: 0.500 0.500 0.000
Tc: 0.500 0.500 0.500

--- two ---
Mg2CuTc at its PBEsol-relaxed geometry. Source: Alexandria, functional SCAN.

Cell: 2.700 4.124 5.513 Å, 90.00 90.00 90.00°
Space group Pmm2 (No. 25)
Unique sites:
Mg: 0.000 0.000 0.000
Mg: 0.500 0.500 0.289
Cu: 0.500 0.500 0.754
Tc: 0.000 0.000 0.520

Name the least stable of them. two.